Here is a relaxed structure of CdCo2AuO from Alexandria. Energies are from PBE with a Hubbard U.

```
CdCo2AuO
1.0
3.807 0.000 0.000
0.000 6.074 0.000
0.000 0.000 3.807
Cd Co O Au
1 2 1 1
Cartesian
1.903 3.037 1.903
1.903 0.000 0.000
0.000 0.000 1.903
0.000 0.000 0.000
0.000 3.037 0.000
```

The calculation puts the polymorph energy (0 for the lowest one) at 0 meV/atom. As for the density of states at the Fermi level: 2.207 states/eV/f.u. For the total energy, the calculation gives -3.77 eV/atom.